This record from Alexandria describes CeCoAs2Rh2 after structural relaxation. The functional is PBE-GGA.

Unit cell a=4.499 b=4.499 c=5.319 alpha=90.00 beta=90.00 gamma=90.00
Atoms (fractional coordinates):
1 Ce 0.000 0.000 0.000
2 Co 0.000 0.000 0.500
3 As 0.000 0.500 0.500
4 As 0.500 0.000 0.500
5 Rh 0.500 0.500 0.242
6 Rh 0.500 0.500 0.758

Results
Raw total energy ... -38.95 eV for the cell shown
Space-group type ... P4/mmm (123)



This record from Alexandria describes Ba4TlCdI2 after structural relaxation. The functional is PBE-GGA.

Unit cell a=8.398 b=4.768 c=9.675 alpha=90.00 beta=106.37 gamma=90.00
Atoms (fractional coordinates):
1 Ba 0.245 0.000 0.237
2 Ba 0.253 0.500 0.765
3 Ba 0.747 0.500 0.235
4 Ba 0.755 0.000 0.763
5 Tl 0.000 0.500 0.000
6 Cd 0.500 0.000 0.000
7 I 0.000 0.000 0.500
8 I 0.500 0.500 0.500

Results
Raw total energy ... -20.59 eV for the cell shown
Energy relative to the elements, uncorrected ... -0.815 eV/atom
Space-group type ... P2/m (10)



This record from Alexandria describes PrDy2Sb2 after structural relaxation. The functional is PBE-GGA.

Unit cell a=8.002 b=8.002 c=6.158 alpha=111.19 beta=111.19 gamma=98.41
Atoms (fractional coordinates):
1 Pr 0.103 0.897 0.750
2 Pr 0.897 0.103 0.250
3 Dy 0.226 0.420 0.015
4 Dy 0.420 0.226 0.515
5 Dy 0.580 0.774 0.485
6 Dy 0.774 0.580 0.985
7 Sb 0.178 0.822 0.250
8 Sb 0.376 0.624 0.750
9 Sb 0.624 0.376 0.250
10 Sb 0.822 0.178 0.750

Results
Raw total energy ... -51.14 eV for the cell shown
Energy relative to the elements, uncorrected ... -0.669 eV/atom
Space-group type ... C2/c (15)



This record from Alexandria describes PmNd14Al after structural relaxation. The functional is PBE-GGA.

Unit cell a=10.194 b=7.266 c=7.266 alpha=90.01 beta=90.00 gamma=90.00
Atoms (fractional coordinates):
1 Pm 0.000 0.000 0.000
2 Nd 0.000 0.002 0.499
3 Nd 0.000 0.499 0.002
4 Nd 0.241 0.744 0.744
5 Nd 0.242 0.257 0.257
6 Nd 0.242 0.257 0.744
7 Nd 0.242 0.744 0.257
8 Nd 0.500 0.000 0.000
9 Nd 0.500 0.500 0.500
10 Nd 0.500 0.501 0.999
11 Nd 0.500 0.999 0.501
12 Nd 0.758 0.257 0.257
13 Nd 0.758 0.257 0.744
14 Nd 0.758 0.744 0.257
15 Nd 0.759 0.744 0.744
16 Al 0.000 0.500 0.500

Results
Raw total energy ... -75.32 eV for the cell shown
Space-group type ... Amm2 (38)



This record from Alexandria describes SiTe3 after structural relaxation. The functional is PBE-GGA.

Unit cell a=15.893 b=15.893 c=15.893 alpha=165.07 beta=165.07 gamma=21.18
Atoms (fractional coordinates):
1 Si 0.155 0.155 0.000
2 Si 0.845 0.845 0.000
3 Te 0.000 0.500 0.500
4 Te 0.250 0.750 0.500
5 Te 0.366 0.366 0.000
6 Te 0.500 0.000 0.500
7 Te 0.634 0.634 0.000
8 Te 0.750 0.250 0.500

Results
Raw total energy ... -26.36 eV for the cell shown
Energy relative to the elements, uncorrected ... 0.417 eV/atom
Space-group type ... I4/mmm (139)



This record from Alexandria describes ErNiPd after structural relaxation. The functional is PBE-GGA.

Unit cell a=6.803 b=6.803 c=5.362 alpha=90.00 beta=90.00 gamma=90.00
Atoms (fractional coordinates):
1 Er 0.239 0.239 0.000
2 Er 0.261 0.739 0.250
3 Er 0.739 0.261 0.750
4 Er 0.761 0.761 0.500
5 Ni 0.027 0.027 0.500
6 Ni 0.473 0.527 0.750
7 Ni 0.527 0.473 0.250
8 Ni 0.973 0.973 0.000
9 Pd 0.217 0.783 0.750
10 Pd 0.283 0.283 0.500
11 Pd 0.717 0.717 0.000
12 Pd 0.783 0.217 0.250

Results
Raw total energy ... -64.88 eV for the cell shown
Polymorph energy (0 for the lowest one) ... 423.4 meV per atom
Space-group type ... P4_12_12 (92)



no.,total magnetic moment (μB/f.u.),volume (Å³ per atom)
1,0.51,17.95
2,0.83,46.46
3,0.00,32.50
4,0.00,33.63
5,0.00,33.32
6,0.00,20.68